Arrangement A

The following is a DFT calculation (PBE-GGA) of a geometry-optimized LaTmThCd structure.

a b c (Å): 5.5611 5.5611 5.5611
angles (deg): 60.00 60.00 60.00
Closest atoms and distances in Å follow each position.
Atoms (fractional coordinates):
Th (0.2500, 0.2500, 0.2500)  4 Cd 3.41, 4 Tm 3.41
Cd (0.5000, 0.5000, 0.5000)  4 Th 3.41, 4 La 3.41
La (0.7500, 0.7500, 0.7500)  4 Cd 3.41, 4 Tm 3.41
Tm (0.0000, 0.0000, 0.0000)  4 La 3.41, 4 Th 3.41


Arrangement B

The following is a DFT calculation (PBE-GGA) of a geometry-optimized LaTmThCd structure.

a b c (Å): 3.6282 3.6282 9.0609
angles (deg): 90.00 90.00 90.00
Closest atoms and distances in Å follow each position.
Atoms (fractional coordinates):
La (0.0000, 0.0000, 0.0839)  4 Cd 3.46, 4 Th 3.58, 4 La 3.63
Cd (0.5000, 0.5000, 0.3403)  4 Tm 3.20, 4 La 3.46
Tm (0.0000, 0.0000, 0.5516)  4 Cd 3.20, 4 Th 3.47
Th (0.5000, 0.5000, 0.8089)  4 Tm 3.47, 4 La 3.58, 4 Th 3.63


Of them, arrangement A has the lowest stability.


Arrangement A

The following is a DFT calculation (PBE-GGA) of a geometry-optimized LaTiCd3 structure.

a b c (Å): 5.2446 5.2446 5.2446
angles (deg): 90.00 90.00 90.00
Closest atoms and distances in Å follow each position.
Atoms (fractional coordinates):
Cd (0.5000, 0.0000, 0.0000)  2 Ti 2.62
Cd (0.0000, 0.5000, 0.0000)  2 Ti 2.62
La (0.5000, 0.5000, 0.5000)  12 Cd 3.71
Ti (0.0000, 0.0000, 0.0000)  6 Cd 2.62
Cd (0.0000, 0.0000, 0.5000)  2 Ti 2.62


Arrangement B

The following is a DFT calculation (PBE-GGA) of a geometry-optimized LaTiCd3 structure.

a b c (Å): 5.9036 5.9036 5.9036
angles (deg): 90.00 90.00 90.00
Closest atoms and distances in Å follow each position.
Atoms (fractional coordinates):
La (0.0000, 0.0000, 0.0000)  6 Cd 2.95
Cd (0.0000, 0.0000, 0.5000)  2 La 2.95
Cd (0.0000, 0.5000, 0.0000)  2 La 2.95
Cd (0.5000, 0.0000, 0.0000)  2 La 2.95
Ti (0.5000, 0.5000, 0.5000)  12 Cd 4.17


Of them, arrangement B has the lowest stability.


Arrangement A

The following is a DFT calculation (PBE-GGA) of a geometry-optimized La6Tl3Cd structure.

a b c (Å): 5.5592 9.8314 12.2592
angles (deg): 107.10 90.00 90.00
Closest atoms and distances in Å follow each position.
Atoms (fractional coordinates):
Tl (0.2500, 0.5383, 0.3815)  8 La 3.35-3.52, 2 Tl 3.70
Tl (0.7500, 0.4617, 0.6185)  8 La 3.35-3.52, 2 Tl 3.70
Cd (0.7500, 0.0403, 0.4036)  8 La 3.35-3.46
La (0.7500, 0.7475, 0.5032)  4 Tl 3.34-3.52, 3 Cd 3.44-3.46
La (0.2500, 0.2525, 0.4968)  4 Tl 3.34-3.52, 3 Cd 3.44-3.46
La (0.7500, 0.9163, 0.1185)  3 La 3.14-3.41, 1 Cd 3.35, 3 Tl 3.35-3.39
La (0.2500, 0.4639, 0.0882)  7 Tl 3.39-3.63, 3 La 3.60-3.72
La (0.2500, 0.0837, 0.8815)  3 La 3.14-3.41, 1 Cd 3.35, 3 Tl 3.35-3.39
La (0.2500, 0.1246, 0.1453)  3 La 3.14-3.41, 2 Tl 3.46
La (0.7500, 0.3399, 0.3199)  5 Tl 3.35-3.50, 1 Cd 3.39
Cd (0.2500, 0.9597, 0.5964)  8 La 3.35-3.46
La (0.2500, 0.8484, 0.3063)  3 Cd 3.37-3.40, 3 Tl 3.43-3.47
Tl (0.7500, 0.2337, 0.0249)  10 La 3.39-3.63
La (0.2500, 0.6601, 0.6801)  5 Tl 3.35-3.50, 1 Cd 3.39
Tl (0.7500, 0.6333, 0.2184)  8 La 3.34-3.60, 2 Tl 3.70
La (0.7500, 0.5361, 0.9118)  7 Tl 3.39-3.63, 3 La 3.60-3.72
Tl (0.2500, 0.3667, 0.7816)  8 La 3.34-3.60, 2 Tl 3.70
La (0.7500, 0.8754, 0.8547)  3 La 3.14-3.41, 2 Tl 3.46
Tl (0.2500, 0.7663, 0.9751)  10 La 3.39-3.63
La (0.7500, 0.1516, 0.6937)  3 Cd 3.37-3.40, 3 Tl 3.43-3.47


Arrangement B

The following is a DFT calculation (PBE-GGA) of a geometry-optimized La6Tl3Cd structure.

a b c (Å): 8.7008 8.4686 9.3749
angles (deg): 90.00 91.91 90.00
Closest atoms and distances in Å follow each position.
Atoms (fractional coordinates):
La (0.1532, 0.3497, 0.0655)  1 Cd 3.30, 4 Tl 3.35-3.54, 2 La 3.40-3.69
Tl (0.0000, 0.0000, 0.5000)  6 La 3.25-3.36
La (0.7424, 0.8936, 0.2426)  3 Tl 3.33-3.40, 1 Cd 3.37, 2 La 3.68-3.69
Tl (0.0501, 0.6599, 0.2673)  8 La 3.33-3.54, 1 Tl 3.65
La (0.3468, 0.8497, 0.4345)  1 Cd 3.30, 4 Tl 3.35-3.54, 2 La 3.40-3.69
La (0.2424, 0.6064, 0.7426)  3 Tl 3.33-3.40, 1 Cd 3.37, 2 La 3.68-3.69
Cd (0.0000, 0.0000, 0.0000)  6 La 3.24-3.37
La (0.2576, 0.1064, 0.7574)  3 Tl 3.33-3.40, 1 Cd 3.37, 2 La 3.68-3.69
La (0.6727, 0.1702, 0.9277)  1 Cd 3.24, 4 Tl 3.25-3.51, 1 La 3.40
Tl (0.9499, 0.3401, 0.7327)  8 La 3.33-3.54, 1 Tl 3.65
La (0.6532, 0.1503, 0.5655)  1 Cd 3.30, 4 Tl 3.35-3.54, 2 La 3.40-3.69
Cd (0.5000, 0.5000, 0.5000)  6 La 3.24-3.37
La (0.8273, 0.6702, 0.5723)  1 Cd 3.24, 4 Tl 3.25-3.51, 1 La 3.40
Tl (0.4499, 0.1599, 0.2327)  8 La 3.33-3.54, 1 Tl 3.65
La (0.1727, 0.3298, 0.4277)  1 Cd 3.24, 4 Tl 3.25-3.51, 1 La 3.40
La (0.8468, 0.6503, 0.9345)  1 Cd 3.30, 4 Tl 3.35-3.54, 2 La 3.40-3.69
La (0.7576, 0.3936, 0.2574)  3 Tl 3.33-3.40, 1 Cd 3.37, 2 La 3.68-3.69
Tl (0.5000, 0.5000, 0.0000)  6 La 3.25-3.36
Tl (0.5501, 0.8401, 0.7673)  8 La 3.33-3.54, 1 Tl 3.65
La (0.3273, 0.8298, 0.0723)  1 Cd 3.24, 4 Tl 3.25-3.51, 1 La 3.40


Of them, arrangement B has the lowest stability.


Arrangement A

The following is a DFT calculation (PBE-GGA) of a geometry-optimized La2Tl2Cd structure.

a b c (Å): 4.9873 6.4184 10.6918
angles (deg): 88.30 76.51 67.14
Closest atoms and distances in Å follow each position.
Atoms (fractional coordinates):
La (0.9209, 0.2527, 0.9056)  6 Tl 3.33-3.60, 2 Cd 3.62, 1 La 3.69
La (0.3171, 0.7030, 0.6628)  7 Tl 3.41-3.63, 4 Cd 3.44-3.64
Tl (0.9262, 0.7170, 0.4307)  3 Cd 2.90-3.20, 1 Tl 3.03
Tl (0.6529, 0.8122, 0.8820)  1 Cd 2.95, 1 Tl 3.20
Cd (0.3825, 0.8973, 0.3378)  4 Tl 2.90-3.20
La (0.6829, 0.2970, 0.3372)  7 Tl 3.41-3.63, 4 Cd 3.44-3.64
Cd (0.6175, 0.1027, 0.6622)  4 Tl 2.90-3.20
Tl (0.3471, 0.1878, 0.1180)  1 Cd 2.95, 1 Tl 3.20
Tl (0.0738, 0.2830, 0.5693)  3 Cd 2.90-3.20, 1 Tl 3.03
La (0.0791, 0.7473, 0.0944)  6 Tl 3.33-3.60, 2 Cd 3.62, 1 La 3.69


Arrangement B

The following is a DFT calculation (PBE-GGA) of a geometry-optimized La2Tl2Cd structure.

a b c (Å): 7.9584 7.9584 4.8822
angles (deg): 90.00 90.00 90.00
Closest atoms and distances in Å follow each position.
Atoms (fractional coordinates):
Tl (0.3624, 0.8624, 0.0000)  2 Cd 3.08, 1 Tl 3.10, 6 La 3.28-3.45
La (0.3328, 0.1672, 0.5000)  6 Tl 3.28-3.45
La (0.6672, 0.8328, 0.5000)  6 Tl 3.28-3.45
Tl (0.6376, 0.1376, 0.0000)  2 Cd 3.08, 1 Tl 3.10, 6 La 3.28-3.45
Cd (0.0000, 0.0000, 0.0000)  4 Tl 3.08
Tl (0.8624, 0.6376, 0.0000)  2 Cd 3.08, 1 Tl 3.10, 6 La 3.28-3.45
Tl (0.1376, 0.3624, 0.0000)  2 Cd 3.08, 1 Tl 3.10, 6 La 3.28-3.45
La (0.1672, 0.6672, 0.5000)  6 Tl 3.28-3.45
La (0.8328, 0.3328, 0.5000)  6 Tl 3.28-3.45
Cd (0.5000, 0.5000, 0.0000)  4 Tl 3.08


Of them, arrangement B has the lowest stability.


Arrangement A

The following is a DFT calculation (PBE-GGA) of a geometry-optimized La2Tl2Cd structure.

a b c (Å): 6.1654 9.3125 13.2665
angles (deg): 24.47 94.58 87.21
Closest atoms and distances in Å follow each position.
Atoms (fractional coordinates):
La (0.6732, 0.1383, 0.0929)  4 Tl 3.33-3.38, 4 Cd 3.59-3.65, 1 La 3.70
La (0.7887, 0.3479, 0.4315)  6 Tl 3.36-3.59, 4 Cd 3.57-3.60, 1 La 3.70
Tl (0.1171, 0.4636, 0.9257)  3 Tl 3.04-3.28, 1 Cd 3.19, 3 La 3.34-3.38
Tl (0.6837, 0.8985, 0.4909)  3 Tl 3.04-3.28, 1 Cd 3.18, 3 La 3.33-3.37
La (0.3268, 0.8617, 0.9071)  4 Tl 3.33-3.38, 4 Cd 3.59-3.65, 1 La 3.70
La (0.2113, 0.6521, 0.5685)  6 Tl 3.36-3.59, 4 Cd 3.57-3.60, 1 La 3.70
Tl (0.8829, 0.5364, 0.0743)  3 Tl 3.04-3.28, 1 Cd 3.19, 3 La 3.34-3.38
Tl (0.3163, 0.1015, 0.5091)  3 Tl 3.04-3.28, 1 Cd 3.18, 3 La 3.33-3.37
Cd (0.2174, 0.7817, 0.2180)  2 Tl 3.18-3.19, 1 Cd 3.29
Cd (0.7826, 0.2183, 0.7820)  2 Tl 3.18-3.19, 1 Cd 3.29


Arrangement B

The following is a DFT calculation (PBE-GGA) of a geometry-optimized La2Tl2Cd structure.

a b c (Å): 9.2658 9.2658 3.8458
angles (deg): 90.00 90.00 90.00
Closest atoms and distances in Å follow each position.
Atoms (fractional coordinates):
La (0.6777, 0.1777, 0.0000)  6 Tl 3.26-3.41, 2 Cd 3.41
La (0.1777, 0.3223, 0.0000)  6 Tl 3.26-3.41, 2 Cd 3.41
Tl (0.8785, 0.3785, 0.5000)  1 Tl 3.18, 6 La 3.26-3.41
La (0.3223, 0.8223, 0.0000)  6 Tl 3.26-3.41, 2 Cd 3.41
Cd (0.5000, 0.5000, 0.0000)  4 La 3.41
La (0.8223, 0.6777, 0.0000)  6 Tl 3.26-3.41, 2 Cd 3.41
Tl (0.6215, 0.8785, 0.5000)  1 Tl 3.18, 6 La 3.26-3.41
Tl (0.1215, 0.6215, 0.5000)  1 Tl 3.18, 6 La 3.26-3.41
Cd (0.0000, 0.0000, 0.0000)  4 La 3.41
Tl (0.3785, 0.1215, 0.5000)  1 Tl 3.18, 6 La 3.26-3.41


Of them, arrangement B has the lowest stability.


Arrangement A

The following is a DFT calculation (PBE-GGA) of a geometry-optimized LaTl2Cd2 structure.

a b c (Å): 8.8099 8.8099 3.6235
angles (deg): 90.00 90.00 90.00
Closest atoms and distances in Å follow each position.
Atoms (fractional coordinates):
Tl (0.1351, 0.3649, 0.0000)  6 Cd 3.10-3.20, 1 Tl 3.37, 2 La 3.43
Cd (0.3372, 0.1628, 0.5000)  6 Tl 3.10-3.20
La (0.0000, 0.0000, 0.0000)  4 Tl 3.43, 2 La 3.62, 8 Cd 3.76
Tl (0.3649, 0.8649, 0.0000)  6 Cd 3.10-3.20, 1 Tl 3.37, 2 La 3.43
Tl (0.6351, 0.1351, 0.0000)  6 Cd 3.10-3.20, 1 Tl 3.37, 2 La 3.43
Cd (0.1628, 0.6628, 0.5000)  6 Tl 3.10-3.20
Cd (0.6628, 0.8372, 0.5000)  6 Tl 3.10-3.20
Cd (0.8372, 0.3372, 0.5000)  6 Tl 3.10-3.20
Tl (0.8649, 0.6351, 0.0000)  6 Cd 3.10-3.20, 1 Tl 3.37, 2 La 3.43
La (0.5000, 0.5000, 0.0000)  4 Tl 3.43, 2 La 3.62, 8 Cd 3.76


Arrangement B

The following is a DFT calculation (PBE-GGA) of a geometry-optimized LaTl2Cd2 structure.

a b c (Å): 4.6612 4.6612 7.2309
angles (deg): 71.20 71.20 90.00
Closest atoms and distances in Å follow each position.
Atoms (fractional coordinates):
Tl (0.3890, 0.3890, 0.2221)  1 Tl 2.86, 4 Cd 2.94
Tl (0.6110, 0.6110, 0.7779)  1 Tl 2.86, 4 Cd 2.94
Cd (0.7500, 0.2500, 0.5000)  4 Tl 2.94
Cd (0.2500, 0.7500, 0.5000)  4 Tl 2.94
La (0.0000, 0.0000, 0.0000)  8 Tl 3.59, 8 Cd 3.97


Of them, arrangement A has the lowest stability.